The following is a DFT calculation (GGA-PBEsol) of crystalline TlBr2Cl at its relaxed geometry.

* SG: I-4m2 (119)
* offset from the most stable computed form: 252.5 meV/atom
* E_form (uncorrected): -0.1903 eV/atom

Cell: 4.1585 4.1585 6.9421 Å, 107.43 107.43 90.00°
Atoms (fractional coordinates):
Tl1 0.2500 0.7500 0.5000
Br1 0.0000 0.0000 0.0000
Br2 0.7500 0.2500 0.5000
Cl1 0.5000 0.5000 0.0000

The following is a DFT calculation (GGA-PBEsol) of crystalline BaHgCl2 at its relaxed geometry.

* SG: Pm (6)
* E_form (uncorrected): -1.5725 eV/atom

Cell: 5.1799 5.1303 6.6164 Å, 113.71 90.00 90.00°
Atoms (fractional coordinates):
Cl1 0.0000 0.0829 0.7857
Cl2 0.5000 0.8278 0.2608
Hg1 0.0000 0.3847 0.4317
Ba1 0.5000 0.2045 0.0218

The following is a DFT calculation (GGA-PBEsol) of crystalline NaCd2AsPb at its relaxed geometry.

* SG: P4/mmm (123)
* formation energy from the elements: 18.70 kcal/mol of atoms

Cell: 5.0495 5.0495 5.5360 Å, 90.00 90.00 90.00°
Atoms (fractional coordinates):
Pb1 0.0000 0.0000 0.5000
Na1 0.0000 0.0000 0.0000
As1 0.5000 0.5000 0.5000
Cd1 0.0000 0.5000 0.0000
Cd2 0.5000 0.0000 0.0000

The following is a DFT calculation (GGA-PBEsol) of crystalline ZrSb2Rh at its relaxed geometry.

* SG: R-3m (166)
* E_form (uncorrected): -0.2520 eV/atom

Cell: 3.2420 3.2420 8.9848 Å, 79.61 79.61 60.00°
Atoms (fractional coordinates):
Rh1 0.0000 0.0000 0.0000
Sb1 0.2588 0.2588 0.2236
Sb2 0.7412 0.7412 0.7764
Zr1 0.5000 0.5000 0.5000

The following is a DFT calculation (GGA-PBEsol) of crystalline NaGa2Rh2 at its relaxed geometry.

* SG: P4/mbm (127)
* formation energy from the elements: -10.95 kcal/mol of atoms

Cell: 2.8436 7.2901 7.2901 Å, 90.00 90.00 90.00°
Atoms (fractional coordinates):
Na1 0.0000 0.0000 0.0000
Na2 0.0000 0.5000 0.5000
Rh1 0.0000 0.3581 0.8581
Rh2 0.0000 0.8581 0.6419
Rh3 0.0000 0.6419 0.1419
Rh4 0.0000 0.1419 0.3581
Ga1 0.5000 0.1526 0.6526
Ga2 0.5000 0.6526 0.8474
Ga3 0.5000 0.8474 0.3474
Ga4 0.5000 0.3474 0.1526

The following is a DFT calculation (GGA-PBEsol) of crystalline CaLa2FeCl at its relaxed geometry.

* SG: P4/mmm (123)
* E_form (uncorrected): 0.7615 eV/atom

Cell: 4.2543 5.8298 5.8298 Å, 90.00 90.00 90.00°
Each line ends with the local moment (μB).
Atoms (fractional coordinates):
Ca1 0.0000 0.0000 0.0000  -0.11
Cl1 0.5000 0.5000 0.5000  0.00
Fe1 0.5000 0.0000 0.0000  1.82
La1 0.0000 0.0000 0.5000  -0.12
La2 0.0000 0.5000 0.0000  -0.12

Repeat the second record exactly.
The following is a DFT calculation (GGA-PBEsol) of crystalline BaHgCl2 at its relaxed geometry.

* SG: Pm (6)
* E_form (uncorrected): -1.5725 eV/atom

Cell: 5.1799 5.1303 6.6164 Å, 113.71 90.00 90.00°
Atoms (fractional coordinates):
Cl1 0.0000 0.0829 0.7857
Cl2 0.5000 0.8278 0.2608
Hg1 0.0000 0.3847 0.4317
Ba1 0.5000 0.2045 0.0218